MnIn2Os: relaxed, PBE.

a b c (Å): 2.980 2.980 9.079
angles (deg): 90.00 90.00 116.64
Each line ends with the local moment (μB).
Fractional positions:
1 Mn 0.500 0.500 0.250  3.37
2 In 0.000 0.000 0.999  -0.05
3 Os 0.500 0.500 0.750  -0.04
4 In 0.000 0.000 0.501  -0.05

ΔE_f   2.2 eV per formula unit
Final energy   -5.921 eV per atom
Spin magnetization   0.825 μB/atom